<i>
This record from Alexandria describes a relaxed structure of MgSbF5. The functional is PBE.

The structure in POSCAR format:
```
MgSbF5
1.0
-5.8851 1.8552 8.0639
-0.7515 -5.5511 0.7286
5.1118 -4.2121 4.6997
Sb F Mg
4 20 4
Direct
0.7206 0.0581 0.1670
0.2206 0.9419 0.3330
0.7794 0.0581 0.6670
0.2794 0.9419 0.8330
0.4363 0.7119 0.8096
0.8270 0.3022 0.3891
0.6016 0.3584 0.5359
0.6730 0.3022 0.8891
0.8984 0.3584 0.0359
0.0637 0.7119 0.3096
0.3984 0.6416 0.4641
0.1016 0.6416 0.9641
0.3270 0.6978 0.1109
0.9194 0.8065 0.6597
0.5637 0.2881 0.1904
0.4194 0.1935 0.8403
0.8422 0.8346 0.0620
0.3422 0.1654 0.4380
0.9363 0.2881 0.6904
0.5806 0.8065 0.1597
0.6578 0.8346 0.5620
0.1578 0.1654 0.9380
0.0806 0.1935 0.3403
0.1730 0.6978 0.6109
0.9736 0.5310 0.1863
0.4736 0.4690 0.3137
0.5264 0.5310 0.6863
0.0264 0.4690 0.8137
```



<ii>
This record from Alexandria describes a relaxed structure of MgSbF5. The functional is PBE.

The structure in POSCAR format:
```
MgSbF5
1.0
3.8581 0.0000 0.0000
1.9291 5.3356 0.0606
1.9291 1.0137 5.2388
F Sb Mg
5 1 1
Direct
0.0000 0.5000 0.5000
0.7454 0.2546 0.2546
0.5000 0.1940 0.8060
0.2546 0.7454 0.7454
0.5000 0.8060 0.1940
0.0000 0.0000 0.0000
0.5000 0.5000 0.5000
```



<iii>
This record from Alexandria describes a relaxed structure of MgSbF5. The functional is PBE.

The structure in POSCAR format:
```
MgSbF5
1.0
2.4701 -1.9229 -4.7182
5.6100 -0.0206 0.7664
3.0127 -7.6816 0.9395
F Mg Sb
10 2 2
Direct
0.1605 0.8395 0.7500
0.3035 0.2217 0.3523
0.7783 0.6965 0.1477
0.6965 0.7783 0.6477
0.8395 0.1605 0.2500
0.3371 0.7080 0.0632
0.2920 0.6629 0.4368
0.2217 0.3035 0.8523
0.7080 0.3371 0.5632
0.6629 0.2920 0.9368
0.5146 0.4854 0.2500
0.4854 0.5146 0.7500
0.0000 0.0000 0.0000
0.0000 0.0000 0.5000
```



Of them, the most stable is <i> and the least stable is <iii>.



<i>
This record from Alexandria describes a relaxed structure of MgSbTe2F. The functional is PBE.

The structure in POSCAR format:
```
MgSbTe2F
1.0
-1.3275 -5.0860 1.7404
5.1008 -1.7576 -1.2454
1.3219 1.0167 3.9794
Te Sb Mg F
2 1 1 1
Direct
0.0000 0.5000 0.0000
0.5000 0.0000 0.0000
0.0000 0.0000 0.5000
0.5000 0.5000 0.5000
0.0000 0.0000 0.0000
```



<ii>
This record from Alexandria describes a relaxed structure of MgSbTe2F. The functional is PBE.

The structure in POSCAR format:
```
MgSbTe2F
1.0
5.2979 0.0000 0.0000
0.0000 5.2979 0.0000
0.0000 0.0000 5.4317
Te Mg F Sb
2 1 1 1
Direct
0.0000 0.5000 0.0000
0.5000 0.0000 0.0000
0.0000 0.0000 0.0000
0.5000 0.5000 0.5000
0.0000 0.0000 0.5000
```



Of them, the most stable is <i> and the least stable is <ii>.



<i>
This record from Alexandria describes a relaxed structure of MgScF2. The functional is PBE.

The structure in POSCAR format:
```
MgScF2
1.0
0.0000 3.1074 3.1074
3.1074 0.0000 3.1074
3.1074 3.1074 0.0000
F Sc Mg
2 1 1
Direct
0.7500 0.7500 0.7500
0.2500 0.2500 0.2500
0.5000 0.5000 0.5000
0.0000 0.0000 0.0000
```



<ii>
This record from Alexandria describes a relaxed structure of MgScF2. The functional is PBE.

The structure in POSCAR format:
```
MgScF2
1.0
-1.9443 -4.8102 4.0856
1.0611 -3.8845 5.2341
-1.6584 -2.1042 6.0360
F Sc Mg
2 1 1
Direct
0.1215 0.1215 0.1215
0.8785 0.8785 0.8785
0.0000 0.0000 0.0000
0.5000 0.5000 0.5000
```



<iii>
This record from Alexandria describes a relaxed structure of MgScF2. The functional is PBE.

The structure in POSCAR format:
```
MgScF2
1.0
-0.2437 -3.3672 7.1229
0.4745 -5.7943 5.3229
2.7096 -3.8752 6.3066
F Mg Sc
2 1 1
Direct
0.1082 0.1082 0.1082
0.8918 0.8918 0.8918
0.0000 0.0000 0.0000
0.5000 0.5000 0.5000
```



<iv>
This record from Alexandria describes a relaxed structure of MgScF2. The functional is PBE.

The structure in POSCAR format:
```
MgScF2
1.0
-0.4860 4.4911 2.3674
-1.4868 -2.3999 4.2474
3.8156 0.7632 4.8289
Sc F Mg
2 4 2
Direct
0.0000 0.0000 0.0000
0.7500 0.2500 0.5000
0.5764 0.1250 0.2500
0.1736 0.6250 0.2500
0.3750 0.4236 0.7500
0.8750 0.8264 0.7500
0.2500 0.7500 0.5000
0.5000 0.5000 0.0000
```



Of them, the most stable is <ii> and the least stable is <i>.



<i>
This record from Alexandria describes a relaxed structure of Mg2ScF. The functional is PBE.

The structure in POSCAR format:
```
Mg2ScF
1.0
1.4831 -4.0106 -2.6028
-3.1773 -3.7870 -0.7890
-1.8252 -0.8213 -4.5884
Sc F Mg
1 1 2
Direct
0.5000 0.5000 0.5000
0.0000 0.0000 0.0000
0.2500 0.2500 0.2500
0.7500 0.7500 0.7500
```



<ii>
This record from Alexandria describes a relaxed structure of Mg2ScF. The functional is PBE.

The structure in POSCAR format:
```
Mg2ScF
1.0
-5.7480 0.9957 2.6499
-2.8184 -1.4527 -5.5677
-4.4587 -4.3173 -0.3032
Sc Mg F
2 4 2
Direct
0.0000 0.0000 0.0000
0.7500 0.2500 0.5000
0.8750 0.7224 0.7500
0.2776 0.6250 0.2500
0.4724 0.1250 0.2500
0.3750 0.5276 0.7500
0.5000 0.5000 0.0000
0.2500 0.7500 0.5000
```



Of them, the most stable is <ii> and the least stable is <i>.



<i>
This record from Alexandria describes a relaxed structure of Mg3ScF. The functional is PBE.

The structure in POSCAR format:
```
Mg3ScF
1.0
5.9260 0.0000 0.0000
0.0000 5.9260 0.0000
0.0000 0.0000 5.9260
Sc Mg F
1 3 1
Direct
0.0000 0.0000 0.0000
0.5000 0.0000 0.0000
0.0000 0.0000 0.5000
0.0000 0.5000 0.0000
0.5000 0.5000 0.5000
```



<ii>
This record from Alexandria describes a relaxed structure of Mg3ScF. The functional is PBE.

The structure in POSCAR format:
```
Mg3ScF
1.0
4.6226 0.0000 0.0000
0.0000 4.6226 0.0000
0.0000 0.0000 4.6226
Mg F Sc
3 1 1
Direct
0.0000 0.5000 0.0000
0.0000 0.0000 0.5000
0.5000 0.0000 0.0000
0.0000 0.0000 0.0000
0.5000 0.5000 0.5000
```



Of them, the most stable is <ii> and the least stable is <i>.



<i>
This record from Alexandria describes a relaxed structure of MgScF3. The functional is PBE.

The structure in POSCAR format:
```
MgScF3
1.0
-1.5408 -3.6330 -0.9035
3.6876 -1.3044 -1.0436
0.6454 -1.2201 3.8057
F Mg Sc
3 1 1
Direct
0.0000 0.5000 0.0000
0.0000 0.0000 0.5000
0.5000 0.0000 0.0000
0.0000 0.0000 0.0000
0.5000 0.5000 0.5000
```



<ii>
This record from Alexandria describes a relaxed structure of MgScF3. The functional is PBE.

The structure in POSCAR format:
```
MgScF3
1.0
4.2722 0.0000 0.0000
0.0000 4.2722 0.0000
0.0000 0.0000 4.2722
F Mg Sc
3 1 1
Direct
0.0000 0.5000 0.0000
0.0000 0.0000 0.5000
0.5000 0.0000 0.0000
0.5000 0.5000 0.5000
0.0000 0.0000 0.0000
```



Of them, the most stable is <ii> and the least stable is <i>.



<i>
This record from Alexandria describes a relaxed structure of MgSe2F. The functional is PBE.

The structure in POSCAR format:
```
MgSe2F
1.0
0.0000 3.2442 3.2442
3.2442 0.0000 3.2442
3.2442 3.2442 0.0000
Se F Mg
2 1 1
Direct
0.7500 0.7500 0.7500
0.2500 0.2500 0.2500
0.0000 0.0000 0.0000
0.5000 0.5000 0.5000
```



<ii>
This record from Alexandria describes a relaxed structure of MgSe2F. The functional is PBE.

The structure in POSCAR format:
```
MgSe2F
1.0
-1.4998 0.9575 -3.3047
1.4970 -3.0643 -1.5673
-8.7963 -6.5733 -0.0439
Mg F Se
2 2 4
Direct
0.7500 0.2500 0.5000
0.0000 0.0000 0.0000
0.5000 0.5000 0.0000
0.2500 0.7500 0.5000
0.1237 0.6250 0.2500
0.3750 0.3737 0.7500
0.6263 0.1250 0.2500
0.8750 0.8763 0.7500
```



Of them, the most stable is <ii> and the least stable is <i>.



<i>
This record from Alexandria describes a relaxed structure of MgSeF3. The functional is PBE.

The structure in POSCAR format:
```
MgSeF3
1.0
-1.0062 -2.9223 2.6897
0.9609 -2.8713 -2.7602
3.8537 -0.0471 1.3906
F Mg Se
3 1 1
Direct
0.5000 0.0000 0.0000
0.0000 0.0000 0.5000
0.0000 0.5000 0.0000
0.0000 0.0000 0.0000
0.5000 0.5000 0.5000
```



<ii>
This record from Alexandria describes a relaxed structure of MgSeF3. The functional is PBE.

The structure in POSCAR format:
```
MgSeF3
1.0
-0.7521 3.4225 2.7689
-3.4076 1.3258 -2.5644
-2.7872 -2.5445 2.3881
Se Mg F
1 1 3
Direct
0.0000 0.0000 0.0000
0.5000 0.5000 0.5000
0.0000 0.5000 0.0000
0.5000 0.0000 0.0000
0.0000 0.0000 0.5000
```



Of them, the most stable is <i> and the least stable is <ii>.



<i>
This record from Alexandria describes a relaxed structure of Mg2SeF. The functional is PBE.

The structure in POSCAR format:
```
Mg2SeF
1.0
5.4089 0.0000 0.0000
0.0000 5.4089 0.0000
2.7045 2.7045 5.7596
Mg Se F
4 2 2
Direct
0.1902 0.6250 0.2500
0.3750 0.4402 0.7500
0.5598 0.1250 0.2500
0.8750 0.8098 0.7500
0.0000 0.0000 0.0000
0.7500 0.2500 0.5000
0.5000 0.5000 0.0000
0.2500 0.7500 0.5000
```



<ii>
This record from Alexandria describes a relaxed structure of Mg2SeF. The functional is PBE.

The structure in POSCAR format:
```
Mg2SeF
1.0
4.1417 -1.5316 1.3843
2.9037 2.8517 2.2027
0.8569 -0.5997 4.5079
F Se Mg
1 1 2
Direct
0.0000 0.0000 0.0000
0.5000 0.5000 0.5000
0.2500 0.2500 0.2500
0.7500 0.7500 0.7500
```



Of them, the most stable is <i> and the least stable is <ii>.



<i>
This record from Alexandria describes a relaxed structure of MgSiF. The functional is PBE.

The structure in POSCAR format:
```
MgSiF
1.0
3.5946 0.0000 0.0000
0.0000 3.5946 0.0000
0.0000 0.0000 13.4307
F Mg Si
4 4 4
Direct
0.5000 0.0000 0.7500
0.5000 0.0000 0.2500
0.0000 0.5000 0.7500
0.0000 0.5000 0.2500
0.5000 0.5000 0.1640
0.5000 0.5000 0.8360
0.0000 0.0000 0.6640
0.0000 0.0000 0.3360
0.0000 0.5000 0.5000
0.5000 0.0000 0.0000
0.0000 0.5000 0.0000
0.5000 0.0000 0.5000
```



<ii>
This record from Alexandria describes a relaxed structure of MgSiF. The functional is PBE.

The structure in POSCAR format:
```
MgSiF
1.0
-0.1837 3.6745 -0.3101
-1.8558 -1.7208 2.6882
18.1095 2.0725 13.8290
Mg F Si
6 6 6
Direct
0.3333 0.6667 0.4399
0.6667 0.3333 0.1066
0.6667 0.3333 0.5601
0.0000 0.0000 0.7733
0.0000 0.0000 0.2267
0.3333 0.6667 0.8934
0.0000 0.0000 0.1353
0.3333 0.6667 0.8020
0.6667 0.3333 0.1980
0.6667 0.3333 0.4686
0.3333 0.6667 0.5314
0.0000 0.0000 0.8647
0.6667 0.3333 0.6887
0.0000 0.0000 0.3554
0.6667 0.3333 0.9780
0.3333 0.6667 0.0220
0.0000 0.0000 0.6446
0.3333 0.6667 0.3113
```



Of them, the most stable is <ii> and the least stable is <i>.



<i>
This record from Alexandria describes a relaxed structure of Mg2SnF. The functional is PBE.

The structure in POSCAR format:
```
Mg2SnF
1.0
-0.7052 -4.2737 -3.3283
5.3699 -0.9923 0.1363
1.5629 -6.1536 3.0878
Sn F Mg
2 2 4
Direct
0.7500 0.2500 0.5000
0.0000 0.0000 0.0000
0.2500 0.7500 0.5000
0.5000 0.5000 0.0000
0.2592 0.6250 0.2500
0.3750 0.5092 0.7500
0.4908 0.1250 0.2500
0.8750 0.7408 0.7500
```



<ii>
This record from Alexandria describes a relaxed structure of Mg2SnF. The functional is PBE.

The structure in POSCAR format:
```
Mg2SnF
1.0
2.4282 -3.3257 -2.5252
2.3714 -3.5236 2.3008
-1.6303 -4.5423 -0.2055
Sn Mg F
1 2 1
Direct
0.5000 0.5000 0.5000
0.2500 0.2500 0.2500
0.7500 0.7500 0.7500
0.0000 0.0000 0.0000
```



Of them, the most stable is <i> and the least stable is <ii>.